# 1
Below is a geometry-optimized YSc2TaO8 structure, with properties calculated at the GGA-PBE level.

Cell: 6.9032 6.9452 6.6414 Å, 90.00 90.00 90.00°
Closest atoms and distances in Å follow each position.
Space group Cmmm (No. 65)
Symmetry-distinct sites (fractional):
1 Y 0.0000 0.0000 0.0000 x2  6 O 2.22-2.30
2 Sc 0.0000 0.5000 0.2509 x4  6 O 2.09-2.20
3 Ta 0.0000 0.0000 0.5000 x2  6 O 1.99-2.02
4 O 0.0000 0.2915 0.5000 x4  1 Ta 2.02, 2 Sc 2.20
5 O 0.0000 0.3195 0.0000 x4  2 Sc 2.09, 1 Y 2.22
6 O 0.1961 0.0000 0.2799 x8  1 Ta 1.99, 1 Sc 2.11

ΔE_f (raw), eV per atom: -2.88
Fermi-level density of states, states/eV per atom: 0.6487
Calculated volume, Å³/cell: 318.4
Total DFT energy (no corrections), eV per atom: -8.76
Size of the total moment, μB per atom: 0.167

# 2
Below is a geometry-optimized CsRbHfTe3 structure, with properties calculated at the GGA-PBE level.

Cell: 8.5622 17.3252 7.7137 Å, 90.00 104.42 90.00°
Closest atoms and distances in Å follow each position.
Space group C2/c (No. 15)
Symmetry-distinct sites (fractional):
1 Cs 0.0000 0.2371 0.2500 x4  4 Te 3.90-4.08
2 Rb 0.0000 0.4067 0.7500 x4  5 Te 3.52-3.61
3 Hf 0.0000 0.0459 0.7500 x4  5 Te 2.73-2.93
4 Te 0.0000 0.2034 0.7500 x4  1 Hf 2.73
5 Te 0.2144 0.0440 0.5071 x8  2 Hf 2.81-2.93

ΔE_f (raw), eV per atom: -0.99
Calculated volume, Å³/cell: 1108.2
Total DFT energy (no corrections), eV per atom: -4.52
Size of the total moment, μB per atom: 0.000

# 3
Below is a geometry-optimized LiPmIN structure, with properties calculated at the GGA-PBE level.

Cell: 3.9020 3.9020 21.0782 Å, 90.00 90.00 120.00°
Closest atoms and distances in Å follow each position.
Space group R3m (No. 160, hexagonal axes)
Symmetry-distinct sites (fractional):
1 Li 0.0000 0.0000 0.0000 x3  1 N 1.94
2 Pm 0.0000 0.0000 0.5443 x3  3 N 2.34
3 I 0.0000 0.0000 0.7435 x3  3 Li 2.77
4 N 0.0000 0.0000 0.9080 x3  1 Li 1.94

ΔE_f (raw), eV per atom: -1.11
Fermi-level density of states, states/eV per atom: 0.0000
Calculated volume, Å³/cell: 277.9
Total DFT energy (no corrections), eV per atom: -5.24
Size of the total moment, μB per atom: 0.000